A.
B2C | PBE-GGA | relaxed

M_tot = 0.0 μB per formula unit

Lattice parameters (Å, degrees): 2.731 2.731 16.580 90.00 90.00 120.00
Atoms (fractional coordinates):
1 B 0.000 0.000 0.200
2 B 0.667 0.333 0.658
3 B 0.333 0.667 0.056
4 B 0.333 0.667 0.820
5 B 0.333 0.667 0.330
6 B 0.000 0.000 0.305
7 B 0.000 0.000 0.719
8 B 0.333 0.667 0.557
9 C 0.667 0.333 0.067
10 C 0.667 0.333 0.564
11 C 0.000 0.000 0.813
12 C 0.667 0.333 0.161



B.
B2C | PBE-GGA | relaxed

M_tot = 0.0 μB per formula unit

Lattice parameters (Å, degrees): 4.166 4.166 4.166 142.38 112.56 79.88
Atoms (fractional coordinates):
1 C 0.534 0.805 0.729
2 C 0.923 0.195 0.729
3 B 0.726 0.679 0.046
4 B 0.967 0.000 0.967
5 B 0.367 0.321 0.046
6 B 0.233 0.500 0.733



Which one sits at the bottom of the stability order? A does.



A.
Ir2AuCl | PBE-GGA | relaxed

M_tot = 0.0 μB per formula unit

Lattice parameters (Å, degrees): 9.604 9.604 9.604 17.38 17.38 17.38
Atoms (fractional coordinates):
1 Ir 0.260 0.260 0.260
2 Ir 0.997 0.997 0.997
3 Au 0.510 0.510 0.510
4 Cl 0.733 0.733 0.733



B.
Ir2AuCl | PBE-GGA | relaxed

M_tot = 0.0 μB per formula unit

Lattice parameters (Å, degrees): 4.925 4.925 2.798 90.00 90.00 107.40
Atoms (fractional coordinates):
1 Cl 0.000 0.500 0.500
2 Ir 0.500 0.500 0.000
3 Ir 0.000 0.000 0.000
4 Au 0.500 0.000 0.500



Which one sits at the bottom of the stability order? B does.